[1]
Entry from the Alexandria database: crystalline HfTc5 at its relaxed geometry (PBE-GGA).

```
HfTc5
1.0
2.198 -6.735 0.000
2.198 6.735 0.000
0.000 0.000 3.145
Hf Tc
1 5
Direct
0.000 0.000 0.000 Hf
0.165 0.835 0.500 Tc
0.324 0.676 0.000 Tc
0.500 0.500 0.500 Tc
0.676 0.324 0.000 Tc
0.835 0.165 0.500 Tc
```

Calculated values
- uncorrected energy (eV per atom) = -10.309
- DFT formation energy (eV per formula unit) = -0.068

=====

[2]
Entry from the Alexandria database: crystalline KScNbO5 at its relaxed geometry (PBE-GGA).

```
KScNbO5
1.0
3.663 -4.923 0.000
3.663 4.923 0.000
-3.138 0.000 7.452
K Sc Nb O
2 2 2 10
Direct
0.175 0.825 0.750 K
0.825 0.175 0.250 K
0.500 0.500 0.000 Sc
0.500 0.500 0.500 Sc
0.188 0.812 0.250 Nb
0.812 0.188 0.750 Nb
0.135 0.277 0.891 O
0.212 0.617 0.395 O
0.277 0.135 0.391 O
0.383 0.788 0.105 O
0.443 0.557 0.750 O
0.557 0.443 0.250 O
0.617 0.212 0.895 O
0.723 0.865 0.609 O
0.788 0.383 0.605 O
0.865 0.723 0.109 O
```

Calculated values
- uncorrected energy (eV per atom) = -7.765
- formation energy (no corrections) (eV/atom) = -2.48

=====

[3]
Entry from the Alexandria database: crystalline LiGdLuPt at its relaxed geometry (PBE-GGA).

```
LiGdLuPt
1.0
0.000 3.501 3.501
3.501 0.000 3.501
3.501 3.501 0.000
Li Gd Lu Pt
1 1 1 1
Direct
0.000 0.000 0.000 Li
0.750 0.750 0.750 Gd
0.250 0.250 0.250 Lu
0.500 0.500 0.500 Pt
```

Calculated values
- uncorrected energy (eV per atom) = -7.317
- DFT formation energy (eV per formula unit) = -2.713

=====

[4]
Entry from the Alexandria database: crystalline In2ReHg at its relaxed geometry (PBE-GGA).

```
In2ReHg
1.0
1.613 -2.434 0.000
1.613 2.434 0.000
0.000 0.000 11.051
In Re Hg
2 1 1
Direct
0.000 0.000 0.000 In
0.500 0.500 0.293 In
0.000 0.000 0.509 Re
0.500 0.500 0.733 Hg
```

Calculated values
- uncorrected energy (eV per atom) = -3.935
- DFT formation energy (eV per formula unit) = 2.486

=====

[5]
Entry from the Alexandria database: crystalline ThSnP at its relaxed geometry (PBE-GGA).

```
ThSnP
1.0
2.344 1.353 9.104
-2.344 1.353 9.104
0.000 -2.707 9.104
Th Sn P
2 2 2
Direct
0.103 0.103 0.103 Th
0.897 0.897 0.897 Th
0.357 0.357 0.357 Sn
0.643 0.643 0.643 Sn
0.206 0.206 0.206 P
0.794 0.794 0.794 P
```

Calculated values
- uncorrected energy (eV per atom) = -6.328
- DFT formation energy (eV per formula unit) = -2.152

=====

[6]
Entry from the Alexandria database: crystalline YReSi at its relaxed geometry (PBE-GGA).

```
YReSi
1.0
0.000 3.104 3.104
3.104 0.000 3.104
3.104 3.104 0.000
Y Re Si
1 1 1
Direct
0.000 0.000 0.000 Y
0.500 0.500 0.500 Re
0.750 0.750 0.750 Si
```

Calculated values
- uncorrected energy (eV per atom) = -8.016
- formation energy (no corrections) (eV/atom) = 0.10

=====

> Among the records above, which one has the lowest uncorrected energy?

HfTc5

=====

> What is the uncorrected energy in the fourth record?

-3.935 eV per atom

=====

> Among the records above, which one has the highest uncorrected energy?

In2ReHg

=====

Repeat the sixth record exactly.
Entry from the Alexandria database: crystalline YReSi at its relaxed geometry (PBE-GGA).

```
YReSi
1.0
0.000 3.104 3.104
3.104 0.000 3.104
3.104 3.104 0.000
Y Re Si
1 1 1
Direct
0.000 0.000 0.000 Y
0.500 0.500 0.500 Re
0.750 0.750 0.750 Si
```

Calculated values
- uncorrected energy (eV per atom) = -8.016
- formation energy (no corrections) (eV/atom) = 0.10